## RbV2PtO8 (GGA+U)

Data for RbV2PtO8 after structural relaxation.

a = 5.334 Å, b = 5.334 Å, c = 8.242 Å
α = 90.00°, β = 90.00°, γ = 120.00°
Positions (direct):
Rb: 0.000 0.000 0.000
V: 0.667 0.333 0.298
V: 0.333 0.667 0.702
Pt: 0.000 0.000 0.500
O: 0.333 0.667 0.904
O: 0.320 0.271 0.359
O: 0.729 0.050 0.359
O: 0.667 0.333 0.096
O: 0.271 0.950 0.641
O: 0.680 0.729 0.641
O: 0.050 0.320 0.641
O: 0.950 0.680 0.359

**V**: 16.9 A^3/atom
**Calculated total energy**: -78.5 eV/f.u.
**SG**: P-3 (147)